No. 1
# GGA-PBEsol Sr2ErMoO6, optimized geometry
data_Sr2ErMoO6
_chemical_formula_sum 'Sr4 Er2 Mo2 O12'
_cell_length_a 5.735
_cell_length_b 5.784
_cell_length_c 9.929
_cell_angle_alpha 90.00
_cell_angle_beta 125.03
_cell_angle_gamma 90.00
_space_group_name_H-M_alt 'P 1 21/c 1'
_space_group_IT_number 14
loop_
_space_group_symop_operation_xyz
'x,y,z'
'-x,-y,-z'
'-x,y+1/2,-z+1/2'
'x,-y+1/2,z+1/2'
loop_
_atom_site_label
_atom_site_type_symbol
_atom_site_fract_x
_atom_site_fract_y
_atom_site_fract_z
Sr1 Sr 0.243 0.034 0.250
Er1 Er 0.500 0.000 0.000
Mo1 Mo 0.000 0.000 0.500
O1 O 0.160 0.228 0.961
O2 O 0.235 0.701 0.964
O3 O 0.306 0.017 0.735
# calculated total energy = -8.066 eV/atom
# ΔE_f (raw) = -2879 meV per atom


No. 2
# GGA-PBEsol ErN, optimized geometry
data_ErN
_chemical_formula_sum 'Er4 N4'
_cell_length_a 4.789
_cell_length_b 4.789
_cell_length_c 4.789
_cell_angle_alpha 90.00
_cell_angle_beta 90.00
_cell_angle_gamma 90.00
_space_group_name_H-M_alt 'F m -3 m'
_space_group_IT_number 225
_space_group_name_Hall '-F 4 2 3'
loop_
_atom_site_label
_atom_site_type_symbol
_atom_site_fract_x
_atom_site_fract_y
_atom_site_fract_z
Er1 Er 0.000 0.000 0.000
N1 N 0.000 0.000 0.500
# calculated total energy = -8.691 eV/atom
# ΔE_f (raw) = -1964 meV per atom


No. 3
# GGA-PBEsol Na3ErTi2Nb2O12, optimized geometry
data_Na3ErTi2Nb2O12
_chemical_formula_sum 'Na3 Er1 Ti2 Nb2 O12'
_cell_length_a 5.367
_cell_length_b 5.521
_cell_length_c 7.683
_cell_angle_alpha 89.99
_cell_angle_beta 89.95
_cell_angle_gamma 89.14
_space_group_name_H-M_alt 'P 1'
_space_group_IT_number 1
loop_
_space_group_symop_operation_xyz
'x,y,z'
loop_
_atom_site_label
_atom_site_type_symbol
_atom_site_fract_x
_atom_site_fract_y
_atom_site_fract_z
Na1 Na 0.000 0.000 0.000
Na2 Na 0.017 0.927 0.502
Na3 Na 0.500 0.473 0.003
Er1 Er 0.496 0.397 0.502
Ti1 Ti 0.509 0.945 0.746
Ti2 Ti 0.994 0.452 0.258
Nb1 Nb 0.510 0.944 0.243
Nb2 Nb 0.998 0.462 0.760
O1 O 0.069 0.447 0.005
O2 O 0.223 0.197 0.306
O3 O 0.227 0.195 0.697
O4 O 0.313 0.667 0.306
O5 O 0.316 0.672 0.697
O6 O 0.428 0.960 0.997
O7 O 0.584 0.997 0.503
O8 O 0.702 0.273 0.772
O9 O 0.706 0.273 0.231
O10 O 0.806 0.777 0.788
O11 O 0.813 0.768 0.211
O12 O 0.903 0.500 0.499
# calculated total energy = -8.269 eV/atom
# ΔE_f (raw) = -2749 meV per atom


No. 4
# GGA-PBEsol NaErP4O12, optimized geometry
data_NaErP4O12
_chemical_formula_sum 'Na4 Er4 P16 O48'
_cell_length_a 7.155
_cell_length_b 13.012
_cell_length_c 11.933
_cell_angle_alpha 90.00
_cell_angle_beta 126.07
_cell_angle_gamma 90.00
_space_group_name_H-M_alt 'P 1 21/c 1'
_space_group_IT_number 14
loop_
_space_group_symop_operation_xyz
'x,y,z'
'-x,-y,-z'
'-x,y+1/2,-z+1/2'
'x,-y+1/2,z+1/2'
loop_
_atom_site_label
_atom_site_type_symbol
_atom_site_fract_x
_atom_site_fract_y
_atom_site_fract_z
Na1 Na 0.061 0.225 0.062
Er1 Er 0.465 0.221 0.978
P1 P 0.006 0.604 0.256
P2 P 0.107 0.616 0.735
P3 P 0.347 0.629 0.198
P4 P 0.438 0.093 0.705
O1 O 0.069 0.512 0.790
O2 O 0.092 0.628 0.161
O3 O 0.107 0.151 0.899
O4 O 0.196 0.613 0.408
O5 O 0.208 0.167 0.299
O6 O 0.222 0.689 0.855
O7 O 0.285 0.582 0.701
O8 O 0.336 0.711 0.107
O9 O 0.352 0.165 0.585
O10 O 0.357 0.520 0.138
O11 O 0.370 0.114 0.799
O12 O 0.476 0.133 0.149
# calculated total energy = -7.607 eV/atom
# ΔE_f (raw) = -2469 meV per atom


No. 5
# GGA-PBEsol NaErS2O8, optimized geometry
data_NaErS2O8
_chemical_formula_sum 'Na2 Er2 S4 O16'
_cell_length_a 4.626
_cell_length_b 6.821
_cell_length_c 9.657
_cell_angle_alpha 90.00
_cell_angle_beta 97.50
_cell_angle_gamma 90.00
_space_group_name_H-M_alt 'P 1 21/m 1'
_space_group_IT_number 11
loop_
_space_group_symop_operation_xyz
'x,y,z'
'-x,-y,-z'
'-x,y+1/2,-z'
'x,-y+1/2,z'
loop_
_atom_site_label
_atom_site_type_symbol
_atom_site_fract_x
_atom_site_fract_y
_atom_site_fract_z
Na1 Na 0.121 0.250 0.354
Er1 Er 0.148 0.250 0.824
S1 S 0.339 0.750 0.403
S2 S 0.364 0.750 0.929
O1 O 0.180 0.578 0.332
O2 O 0.240 0.575 0.854
O3 O 0.297 0.750 0.077
O4 O 0.313 0.250 0.060
O5 O 0.337 0.750 0.553
O6 O 0.354 0.250 0.629
# calculated total energy = -6.879 eV/atom
# ΔE_f (raw) = -2121 meV per atom


No. 6
# GGA-PBEsol NaErTi2O6, optimized geometry
data_NaErTi2O6
_chemical_formula_sum 'Na2 Er2 Ti4 O12'
_cell_length_a 7.521
_cell_length_b 5.471
_cell_length_c 5.241
_cell_angle_alpha 90.00
_cell_angle_beta 90.00
_cell_angle_gamma 90.00
_space_group_name_H-M_alt 'P m n 21'
_space_group_IT_number 31
loop_
_space_group_symop_operation_xyz
'x,y,z'
'-x+1/2,-y,z+1/2'
'-x,y,z'
'x+1/2,-y,z+1/2'
loop_
_atom_site_label
_atom_site_type_symbol
_atom_site_fract_x
_atom_site_fract_y
_atom_site_fract_z
Na1 Na 0.000 0.216 0.000
Er1 Er 0.000 0.675 0.477
Ti1 Ti 0.248 0.235 0.484
O1 O 0.000 0.275 0.573
O2 O 0.000 0.777 0.887
O3 O 0.195 0.941 0.307
O4 O 0.209 0.463 0.213
# calculated total energy = -8.528 eV/atom
# ΔE_f (raw) = -3081 meV per atom


Please write out number 5 again, unchanged.
# GGA-PBEsol NaErS2O8, optimized geometry
data_NaErS2O8
_chemical_formula_sum 'Na2 Er2 S4 O16'
_cell_length_a 4.626
_cell_length_b 6.821
_cell_length_c 9.657
_cell_angle_alpha 90.00
_cell_angle_beta 97.50
_cell_angle_gamma 90.00
_space_group_name_H-M_alt 'P 1 21/m 1'
_space_group_IT_number 11
loop_
_space_group_symop_operation_xyz
'x,y,z'
'-x,-y,-z'
'-x,y+1/2,-z'
'x,-y+1/2,z'
loop_
_atom_site_label
_atom_site_type_symbol
_atom_site_fract_x
_atom_site_fract_y
_atom_site_fract_z
Na1 Na 0.121 0.250 0.354
Er1 Er 0.148 0.250 0.824
S1 S 0.339 0.750 0.403
S2 S 0.364 0.750 0.929
O1 O 0.180 0.578 0.332
O2 O 0.240 0.575 0.854
O3 O 0.297 0.750 0.077
O4 O 0.313 0.250 0.060
O5 O 0.337 0.750 0.553
O6 O 0.354 0.250 0.629
# calculated total energy = -6.879 eV/atom
# ΔE_f (raw) = -2121 meV per atom


What did the first record say?
# GGA-PBEsol Sr2ErMoO6, optimized geometry
data_Sr2ErMoO6
_chemical_formula_sum 'Sr4 Er2 Mo2 O12'
_cell_length_a 5.735
_cell_length_b 5.784
_cell_length_c 9.929
_cell_angle_alpha 90.00
_cell_angle_beta 125.03
_cell_angle_gamma 90.00
_space_group_name_H-M_alt 'P 1 21/c 1'
_space_group_IT_number 14
loop_
_space_group_symop_operation_xyz
'x,y,z'
'-x,-y,-z'
'-x,y+1/2,-z+1/2'
'x,-y+1/2,z+1/2'
loop_
_atom_site_label
_atom_site_type_symbol
_atom_site_fract_x
_atom_site_fract_y
_atom_site_fract_z
Sr1 Sr 0.243 0.034 0.250
Er1 Er 0.500 0.000 0.000
Mo1 Mo 0.000 0.000 0.500
O1 O 0.160 0.228 0.961
O2 O 0.235 0.701 0.964
O3 O 0.306 0.017 0.735
# calculated total energy = -8.066 eV/atom
# ΔE_f (raw) = -2879 meV per atom